#i
# Nb2FeCo

Nb2FeCo after structural relaxation (PBE-GGA, the Alexandria database).

```
4
Lattice="3.079 0.000 0.000 1.540 2.667 0.000 1.540 0.889 7.380" Properties=species:S:1:pos:R:3 pbc="T T T"
Fe 0.000 0.000 0.000
Co 3.079 1.778 3.690
Nb 4.619 2.667 5.532
Nb 1.540 0.889 1.848
```

Results
Spin magnetization: 0.100 μB/atom

---

#ii
# Nb2FeCo

Nb2FeCo after structural relaxation (PBE-GGA, the Alexandria database).

```
8
Lattice="-3.144 3.615 4.847 -1.075 -5.711 3.561 0.206 -0.706 5.451" Properties=species:S:1:pos:R:3 pbc="T T T"
Nb -1.416 -1.251 7.201
Co 0.000 0.000 0.000
Nb -3.550 -2.428 11.486
Fe -2.110 -1.048 4.204
Nb -0.978 -3.335 4.139
Fe -1.490 -3.733 6.608
Co -2.524 0.930 7.251
Nb -2.084 1.409 4.892
```

Results
Spin magnetization: 0.477 μB/atom

---

#iii
# Nb2FeCo

Nb2FeCo after structural relaxation (PBE-GGA, the Alexandria database).

```
4
Lattice="2.246 -2.274 -2.942 2.276 -3.490 1.228 -1.327 -3.974 -1.149" Properties=species:S:1:pos:R:3 pbc="T T T"
Nb 0.799 -2.435 -0.716
Fe 0.000 0.000 0.000
Nb 2.396 -7.304 -2.147
Co 1.597 -4.869 -1.431
```

Results
Spin magnetization: 0.377 μB/atom

---

Quick one: most stable of them? #iii

---

#i
# Nb3FeCo

Nb3FeCo after structural relaxation (PBE-GGA, the Alexandria database).

```
10
Lattice="-2.859 -2.403 -0.505 0.594 0.387 -5.183 5.093 -6.087 0.130" Properties=species:S:1:pos:R:3 pbc="T T T"
Co 1.993 -6.161 -3.048
Fe 2.253 -5.991 -5.313
Fe 0.575 -2.112 -0.245
Nb -1.760 -1.991 -1.648
Nb 3.255 -5.068 -1.330
Co 0.835 -1.942 -2.510
Nb 4.589 -6.112 -3.910
Nb -0.426 -3.035 -4.228
Nb 0.311 -4.467 -1.595
Nb 2.517 -3.637 -3.963
```

Results
Spin magnetization: 0.000 μB/atom

---

#ii
# Nb3FeCo

Nb3FeCo after structural relaxation (PBE-GGA, the Alexandria database).

```
5
Lattice="4.528 0.000 0.000 0.000 4.528 0.000 0.000 0.000 4.528" Properties=species:S:1:pos:R:3 pbc="T T T"
Nb 2.264 0.000 0.000
Fe 0.000 0.000 0.000
Co 2.264 2.264 2.264
Nb 0.000 2.264 0.000
Nb 0.000 0.000 2.264
```

Results
Spin magnetization: 0.000 μB/atom

---

#iii
# Nb3FeCo

Nb3FeCo after structural relaxation (PBE-GGA, the Alexandria database).

```
5
Lattice="4.528 0.000 0.000 0.000 4.528 0.000 0.000 0.000 4.528" Properties=species:S:1:pos:R:3 pbc="T T T"
Nb 0.000 0.000 2.264
Fe 2.264 2.264 2.264
Co 0.000 0.000 0.000
Nb 2.264 0.000 0.000
Nb 0.000 2.264 0.000
```

Results
Spin magnetization: 0.000 μB/atom

---

Quick one: most stable of them? #i

---

#i
# NbFeCo4

NbFeCo4 after structural relaxation (PBE-GGA, the Alexandria database).

```
6
Lattice="-1.425 -2.902 -3.399 2.948 -3.214 -1.729 -0.680 -4.548 0.930" Properties=species:S:1:pos:R:3 pbc="T T T"
Co 0.527 -6.672 -2.626
Co -0.954 -5.057 -1.757
Co 1.244 -5.213 -0.918
Fe 0.000 0.000 0.000
Co 0.869 -4.386 -3.094
Nb 0.211 -2.666 -1.049
```

Results
Spin magnetization: 1.150 μB/atom

---

#ii
# NbFeCo4

NbFeCo4 after structural relaxation (PBE-GGA, the Alexandria database).

```
6
Lattice="-2.687 2.411 1.812 1.477 -3.209 1.959 3.816 2.876 1.833" Properties=species:S:1:pos:R:3 pbc="T T T"
Co 2.371 1.142 4.247
Co 0.325 -0.399 3.266
Co 0.236 0.936 1.356
Fe 0.739 -1.604 0.979
Nb 2.647 -0.166 1.896
Co 2.281 2.477 2.338
```

Results
Spin magnetization: 0.998 μB/atom

---

Quick one: most stable of them? #i

---

#i
# YNb2FeCo

YNb2FeCo after structural relaxation (PBE-GGA, the Alexandria database).

```
5
Lattice="-1.905 -3.303 2.555 4.117 -1.022 1.748 -0.689 3.018 3.388" Properties=species:S:1:pos:R:3 pbc="T T T"
Co 2.058 -0.511 0.874
Fe 0.000 0.000 0.000
Nb -0.953 -1.651 1.277
Y 0.761 -0.653 3.846
Nb -0.345 1.509 1.694
```

Results
Spin magnetization: 0.334 μB/atom

---

#ii
# YNb2FeCo

YNb2FeCo after structural relaxation (PBE-GGA, the Alexandria database).

```
5
Lattice="-2.159 -0.907 -4.353 2.731 -3.397 -0.647 -3.223 -3.015 2.226" Properties=species:S:1:pos:R:3 pbc="T T T"
Fe 1.366 -1.699 -0.323
Nb -1.079 -0.453 -2.177
Nb -1.612 -1.507 1.113
Co -1.325 -3.659 -1.387
Y 0.000 0.000 0.000
```

Results
Spin magnetization: 0.245 μB/atom

---

Quick one: most stable of them? #i

---

#i
# NdFeCo

NdFeCo after structural relaxation (PBE-GGA, the Alexandria database).

```
3
Lattice="4.267 0.000 0.000 0.000 3.914 0.000 0.000 -1.957 3.389" Properties=species:S:1:pos:R:3 pbc="T T T"
Nd 2.845 0.000 2.260
Co 0.711 1.957 1.130
Fe 0.711 0.000 0.000
```

Results
Spin magnetization: 0.770 μB/atom

---

#ii
# NdFeCo

NdFeCo after structural relaxation (PBE-GGA, the Alexandria database).

```
12
Lattice="6.322 0.000 0.000 0.000 6.322 0.000 0.000 0.000 5.864" Properties=species:S:1:pos:R:3 pbc="T T T"
Co 5.508 0.815 4.398
Fe 5.528 5.528 2.932
Co 0.815 5.508 1.466
Co 2.346 2.346 0.000
Fe 0.795 0.795 0.000
Nd 1.564 4.758 4.398
Nd 4.758 1.564 1.466
Fe 2.366 3.956 1.466
Co 3.976 3.976 2.932
Nd 1.597 1.597 2.932
Fe 3.956 2.366 4.398
Nd 4.725 4.725 0.000
```

Results
Spin magnetization: 0.001 μB/atom

---

Quick one: most stable of them? #i

---

#i
# FeCo4Ni3

FeCo4Ni3 after structural relaxation (PBE-GGA, the Alexandria database).

```
8
Lattice="2.419 0.000 0.000 0.000 4.707 0.000 -1.210 -2.354 8.053" Properties=species:S:1:pos:R:3 pbc="T T T"
Co 1.210 3.492 2.031
Ni 0.000 2.354 0.000
Co 0.000 1.139 6.022
Co 0.000 -1.139 6.022
Ni 1.210 2.354 4.241
Fe 1.210 0.000 0.000
Co 1.210 1.215 2.031
Ni 0.000 0.000 3.811
```

Results
Spin magnetization: 1.434 μB/atom

---

#ii
# FeCo4Ni3

FeCo4Ni3 after structural relaxation (PBE-GGA, the Alexandria database).

```
8
Lattice="-0.258 2.105 1.314 -3.888 -0.032 -0.712 0.529 -5.124 8.317" Properties=species:S:1:pos:R:3 pbc="T T T"
Ni -0.129 1.053 0.657
Co -1.251 -3.024 6.971
Co -2.700 -1.245 3.830
Co -0.917 -1.805 5.088
Fe -1.944 -0.016 -0.356
Ni -2.911 -3.528 5.083
Co -2.366 -0.027 1.947
Ni -0.706 0.477 3.835
```

Results
Spin magnetization: 1.412 μB/atom

---

Quick one: most stable of them? #i

---

#i
# FeCo2Ni4

FeCo2Ni4 after structural relaxation (PBE-GGA, the Alexandria database).

```
28
Lattice="-2.153 -1.154 0.379 9.807 -10.033 -6.848 2.730 -2.571 7.677" Properties=species:S:1:pos:R:3 pbc="T T T"
Co 10.015 -10.706 0.332
Co 5.473 -8.256 -1.986
Fe 6.519 -8.650 2.754
Ni 8.909 -9.228 -1.461
Ni 4.396 -7.592 1.961
Ni 2.322 -4.278 0.220
Fe 3.865 -5.108 -1.546
Ni 1.476 -4.530 2.669
Ni 5.346 -5.474 5.731
Co 4.912 -5.502 3.194
Fe 1.135 -3.181 4.825
Ni 9.910 -13.184 0.256
Ni 7.167 -9.240 -3.367
Co 2.160 -4.466 6.766
Ni 5.039 -8.284 -4.523
Co 0.369 -3.052 0.876
Ni 8.062 -9.480 0.988
Co 5.973 -8.455 0.277
Ni 5.989 -6.166 -0.753
Ni 4.852 -7.647 4.392
Co 8.225 -9.293 -5.558
Fe 9.249 -10.578 -3.617
Ni 5.532 -6.111 -3.184
Co 4.412 -5.303 0.931
Ni 0.474 -0.574 0.952
Ni 1.517 -1.931 2.738
Ni 3.217 -4.519 4.575
Ni 8.867 -11.827 -1.530
```

Results
Spin magnetization: 1.218 μB/atom

---

#ii
# FeCo2Ni4

FeCo2Ni4 after structural relaxation (PBE-GGA, the Alexandria database).

```
7
Lattice="5.956 0.004 -0.006 -0.004 5.956 -0.001 -2.977 -2.983 2.296" Properties=species:S:1:pos:R:3 pbc="T T T"
Fe 2.975 2.977 2.289
Ni 4.160 1.797 -0.005
Ni 1.792 1.794 0.001
Ni 1.183 1.183 2.288
Co 2.978 0.000 1.143
Co -0.003 2.977 1.146
Ni 1.792 4.162 -0.002
```

Results
Spin magnetization: 1.273 μB/atom

---

Quick one: most stable of them? #i

---

#i
# Fe2Co3Ni

Fe2Co3Ni after structural relaxation (PBE-GGA, the Alexandria database).

```
12
Lattice="-3.397 1.699 1.001 -2.732 -5.152 -0.528 4.156 0.567 5.438" Properties=species:S:1:pos:R:3 pbc="T T T"
Fe 0.735 -0.781 3.821
Co -0.315 -1.680 1.783
Co -1.658 -1.207 4.128
Ni -1.366 -2.576 -0.264
Fe -0.631 -3.357 3.557
Ni 0.000 0.000 0.000
Co -2.381 -0.439 0.368
Fe -2.708 -2.106 2.090
Co -1.680 -4.256 1.519
Fe -1.342 0.470 2.354
Co -3.747 -3.015 0.104
Co -0.292 1.369 4.392
```

Results
Spin magnetization: 1.836 μB/atom

---

#ii
# Fe2Co3Ni

Fe2Co3Ni after structural relaxation (PBE-GGA, the Alexandria database).

```
6
Lattice="-1.021 -3.690 2.069 1.894 -1.177 -1.107 2.713 1.661 5.486" Properties=species:S:1:pos:R:3 pbc="T T T"
Co 1.575 -2.526 5.086
Co 0.436 -2.434 0.481
Fe 0.529 -1.944 2.931
Co 2.011 -0.680 1.362
Ni 0.000 0.000 0.000
Fe 3.057 -1.262 3.517
```

Results
Spin magnetization: 1.757 μB/atom

---

Quick one: most stable of them? #i

---

#i
# Fe2CoNi3

Fe2CoNi3 after structural relaxation (PBE-GGA, the Alexandria database).

```
12
Lattice="-2.697 3.007 2.654 -2.653 1.087 -3.929 -1.141 -6.625 1.947" Properties=species:S:1:pos:R:3 pbc="T T T"
Ni -2.070 -3.579 1.952
Fe -3.145 -2.760 -0.069
Ni -3.349 2.799 0.026
Ni -1.710 -1.013 -0.591
Fe -3.256 -0.758 -2.451
Co -2.023 2.256 1.990
Co -0.674 0.752 0.663
Ni -4.780 -1.518 1.263
Ni -2.001 1.296 -1.301
Fe -3.345 0.230 0.741
Ni -4.421 1.049 -1.280
Fe -3.235 -1.773 3.123
```

Results
Spin magnetization: 1.551 μB/atom

---

#ii
# Fe2CoNi3

Fe2CoNi3 after structural relaxation (PBE-GGA, the Alexandria database).

```
12
Lattice="7.197 0.000 0.000 0.000 5.411 -1.373 0.000 -3.508 4.342" Properties=species:S:1:pos:R:3 pbc="T T T"
Ni 3.380 3.933 -0.426
Fe 1.581 -0.506 2.418
Ni 3.380 0.951 1.484
Ni 3.380 -2.030 3.395
Ni 6.979 3.933 -0.426
Co 1.581 1.903 2.969
Co 5.180 0.000 0.000
Fe 5.179 2.409 0.551
Fe 5.179 -0.506 2.419
Fe 1.581 2.409 0.551
Ni 6.979 -2.030 3.395
Ni 6.979 0.951 1.485
```

Results
Spin magnetization: 1.520 μB/atom

---

Quick one: most stable of them? #ii

---

#i
# FeCo2Ni

FeCo2Ni after structural relaxation (PBE-GGA, the Alexandria database).

```
4
Lattice="-2.690 1.803 1.359 -1.176 -2.159 0.536 1.052 -2.244 5.056" Properties=species:S:1:pos:R:3 pbc="T T T"
Co -1.162 -2.159 0.563
Co -1.395 -0.199 2.040
Ni -1.435 -2.400 4.881
Fe -0.060 -2.202 2.801
```

Results
Spin magnetization: 1.640 μB/atom

---

#ii
# FeCo2Ni

FeCo2Ni after structural relaxation (PBE-GGA, the Alexandria database).

```
16
Lattice="-3.321 2.786 -0.220 -2.403 -0.302 3.601 5.636 7.062 4.354" Properties=species:S:1:pos:R:3 pbc="T T T"
Fe 0.906 4.906 5.379
Co 2.325 6.683 6.475
Ni -2.884 3.626 3.626
Fe -1.911 1.373 3.205
Fe 1.822 8.172 4.531
Co 1.342 8.924 6.890
Ni 2.796 5.919 4.109
Co 0.404 6.395 3.435
Co -0.493 3.150 4.300
Co -1.431 0.621 0.846
Co 1.387 4.152 3.023
Co -1.475 5.393 4.713
Ni -0.021 2.385 1.936
Co -2.413 2.862 1.261
Fe -0.995 4.639 2.356
Ni -0.067 7.160 5.800
```

Results
Spin magnetization: 1.625 μB/atom

---

#iii
# FeCo2Ni

FeCo2Ni after structural relaxation (PBE-GGA, the Alexandria database).

```
4
Lattice="0.156 -3.273 -2.279 -0.754 -3.580 1.595 -3.360 -1.937 -0.943" Properties=species:S:1:pos:R:3 pbc="T T T"
Co -0.990 -2.198 -0.407
Co -2.969 -6.593 -1.220
Ni -1.979 -4.395 -0.813
Fe 0.000 0.000 0.000
```

Results
Spin magnetization: 1.617 μB/atom

---

Quick one: most stable of them? #ii